The following is a GGA-PBE calculation of Cd7Hg4Pb after structural relaxation, from Alexandria.

Output
Crystal system = monoclinic
ΔH_f (0 K) = 0.0503 eV/atom

Geometry as CIF:
```
data_Cd7Hg4Pb
_symmetry_space_group_name_H-M 'C 1 2/m 1'
_symmetry_Int_Tables_number 12
_symmetry_space_group_name_Hall '-C 2y'
_cell_length_a 12.506
_cell_length_b 6.161
_cell_length_c 9.348
_cell_angle_alpha 90.00
_cell_angle_beta 119.03
_cell_angle_gamma 90.00
loop_
_atom_site_label
_atom_site_type_symbol
_atom_site_fract_x
_atom_site_fract_y
_atom_site_fract_z
Cd1 Cd 0.000 0.000 0.000
Cd2 Cd 0.005 0.500 0.342
Cd3 Cd 0.241 0.000 0.991
Cd4 Cd 0.243 0.000 0.651
Hg1 Hg 0.001 0.000 0.670
Hg2 Hg 0.248 0.500 0.676
Pb1 Pb 0.000 0.500 0.000
```

=====

The following is a GGA-PBE calculation of CdHg8Pb6 after structural relaxation, from Alexandria.

Output
Crystal system = trigonal
ΔH_f (0 K) = 0.0629 eV/atom

Geometry as CIF:
```
data_CdHg8Pb6
_symmetry_space_group_name_H-M 'R -3'
_symmetry_Int_Tables_number 148
_symmetry_space_group_name_Hall '-R 3'
_cell_length_a 8.0735
_cell_length_b 8.0735
_cell_length_c 24.0420
_cell_angle_alpha 90.00
_cell_angle_beta 90.00
_cell_angle_gamma 120.00
loop_
_atom_site_label
_atom_site_type_symbol
_atom_site_fract_x
_atom_site_fract_y
_atom_site_fract_z
Cd1 Cd 0.0000 0.0000 0.0000
Hg1 Hg 0.0000 0.0000 0.2645
Hg2 Hg 0.0059 0.6854 0.8652
Pb1 Pb 0.0246 0.2599 0.6210
```

=====

The following is a GGA-PBE calculation of Cd5Hg2Pb4 after structural relaxation, from Alexandria.

Output
Crystal system = monoclinic
ΔH_f (0 K) = 0.0462 eV/atom

Geometry as CIF:
```
data_Cd5Hg2Pb4
_symmetry_space_group_name_H-M 'P 1 2/m 1'
_symmetry_Int_Tables_number 10
_symmetry_space_group_name_Hall '-P 2y'
_cell_length_a 8.405
_cell_length_b 3.372
_cell_length_c 10.516
_cell_angle_alpha 90.00
_cell_angle_beta 90.65
_cell_angle_gamma 90.00
loop_
_atom_site_label
_atom_site_type_symbol
_atom_site_fract_x
_atom_site_fract_y
_atom_site_fract_z
Cd1 Cd 0.000 0.000 0.000
Cd2 Cd 0.075 0.000 0.283
Cd3 Cd 0.282 0.000 0.821
Hg1 Hg 0.448 0.000 0.358
Pb1 Pb 0.196 0.500 0.548
Pb2 Pb 0.330 0.500 0.091
```

=====

The following is a GGA-PBE calculation of Cd4Hg2Pb3 after structural relaxation, from Alexandria.

Output
Crystal system = monoclinic
ΔH_f (0 K) = 0.0633 eV/atom

Geometry as CIF:
```
data_Cd4Hg2Pb3
_symmetry_space_group_name_H-M 'C 1 2/m 1'
_symmetry_Int_Tables_number 12
_symmetry_space_group_name_Hall '-C 2y'
_cell_length_a 10.513
_cell_length_b 4.928
_cell_length_c 9.480
_cell_angle_alpha 90.00
_cell_angle_beta 96.53
_cell_angle_gamma 90.00
loop_
_atom_site_label
_atom_site_type_symbol
_atom_site_fract_x
_atom_site_fract_y
_atom_site_fract_z
Cd1 Cd 0.042 0.000 0.165
Cd2 Cd 0.181 0.500 0.587
Hg1 Hg 0.192 0.500 0.271
Pb1 Pb 0.000 0.000 0.500
Pb2 Pb 0.148 0.500 0.922
```

=====

The following is a GGA-PBE calculation of Cd3HgPb after structural relaxation, from Alexandria.

Output
Crystal system = monoclinic
ΔH_f (0 K) = 0.0578 eV/atom

Geometry as CIF:
```
data_Cd3HgPb
_symmetry_space_group_name_H-M 'C 1 2/c 1'
_symmetry_Int_Tables_number 15
_symmetry_space_group_name_Hall '-C 2yc'
_cell_length_a 14.825
_cell_length_b 9.887
_cell_length_c 7.373
_cell_angle_alpha 90.00
_cell_angle_beta 105.44
_cell_angle_gamma 90.00
loop_
_atom_site_label
_atom_site_type_symbol
_atom_site_fract_x
_atom_site_fract_y
_atom_site_fract_z
Cd1 Cd 0.155 0.159 0.103
Cd2 Cd 0.173 0.149 0.520
Cd3 Cd 0.203 0.448 0.108
Hg1 Hg 0.095 0.342 0.730
Pb1 Pb 0.000 0.031 0.750
Pb2 Pb 0.000 0.350 0.250
```

=====

The following is a GGA-PBE calculation of Cd4Hg6Pb after structural relaxation, from Alexandria.

Output
Crystal system = tetragonal
ΔH_f (0 K) = 0.0872 eV/atom

Geometry as CIF:
```
data_Cd4Hg6Pb
_symmetry_space_group_name_H-M 'I -4 2 m'
_symmetry_Int_Tables_number 121
_symmetry_space_group_name_Hall 'I -4 2'
_cell_length_a 7.740
_cell_length_b 7.740
_cell_length_c 10.494
_cell_angle_alpha 90.00
_cell_angle_beta 90.00
_cell_angle_gamma 90.00
loop_
_atom_site_label
_atom_site_type_symbol
_atom_site_fract_x
_atom_site_fract_y
_atom_site_fract_z
Cd1 Cd 0.185 0.185 0.439
Hg1 Hg 0.000 0.500 0.000
Hg2 Hg 0.151 0.151 0.726
Pb1 Pb 0.000 0.000 0.000
```

=====

The following is a GGA-PBE calculation of CdHgPb2 after structural relaxation, from Alexandria.

Output
Crystal system = orthorhombic
ΔH_f (0 K) = 0.0455 eV/atom

Geometry as CIF:
```
data_CdHgPb2
_symmetry_space_group_name_H-M 'P m m m'
_symmetry_Int_Tables_number 47
_symmetry_space_group_name_Hall '-P 2 2'
_cell_length_a 3.690
_cell_length_b 5.462
_cell_length_c 5.638
_cell_angle_alpha 90.00
_cell_angle_beta 90.00
_cell_angle_gamma 90.00
loop_
_atom_site_label
_atom_site_type_symbol
_atom_site_fract_x
_atom_site_fract_y
_atom_site_fract_z
Cd1 Cd 0.000 0.000 0.000
Hg1 Hg 0.500 0.000 0.500
Pb1 Pb 0.000 0.500 0.500
Pb2 Pb 0.500 0.500 0.000
```

=====

The following is a GGA-PBE calculation of CdHgPb2 after structural relaxation, from Alexandria.

Output
Crystal system = tetragonal
ΔH_f (0 K) = 0.1188 eV/atom

Geometry as CIF:
```
data_CdHgPb2
_symmetry_space_group_name_H-M 'I -4 2 d'
_symmetry_Int_Tables_number 122
_symmetry_space_group_name_Hall 'I -4 2bw'
_cell_length_a 8.561
_cell_length_b 8.561
_cell_length_c 6.462
_cell_angle_alpha 90.00
_cell_angle_beta 90.00
_cell_angle_gamma 90.00
loop_
_atom_site_label
_atom_site_type_symbol
_atom_site_fract_x
_atom_site_fract_y
_atom_site_fract_z
Cd1 Cd 0.000 0.000 0.000
Hg1 Hg 0.000 0.000 0.500
Pb1 Pb 0.249 0.250 0.125
```

=====

The following is a GGA-PBE calculation of CdHg4Pb after structural relaxation, from Alexandria.

Output
Crystal system = cubic
ΔH_f (0 K) = 0.1183 eV/atom

Geometry as CIF:
```
data_CdHg4Pb
_symmetry_space_group_name_H-M 'F -4 3 m'
_symmetry_Int_Tables_number 216
_symmetry_space_group_name_Hall 'F -4 2 3'
_cell_length_a 8.660
_cell_length_b 8.660
_cell_length_c 8.660
_cell_angle_alpha 90.00
_cell_angle_beta 90.00
_cell_angle_gamma 90.00
loop_
_atom_site_label
_atom_site_type_symbol
_atom_site_fract_x
_atom_site_fract_y
_atom_site_fract_z
Cd1 Cd 0.000 0.000 0.000
Hg1 Hg 0.125 0.125 0.625
Pb1 Pb 0.250 0.250 0.250
```

=====

The following is a GGA-PBE calculation of Cd5HgPb after structural relaxation, from Alexandria.

Output
Crystal system = tetragonal
ΔH_f (0 K) = 0.0645 eV/atom

Geometry as CIF:
```
data_Cd5HgPb
_symmetry_space_group_name_H-M 'P 4/m m m'
_symmetry_Int_Tables_number 123
_symmetry_space_group_name_Hall '-P 4 2'
_cell_length_a 4.509
_cell_length_b 4.509
_cell_length_c 8.916
_cell_angle_alpha 90.00
_cell_angle_beta 90.00
_cell_angle_gamma 90.00
loop_
_atom_site_label
_atom_site_type_symbol
_atom_site_fract_x
_atom_site_fract_y
_atom_site_fract_z
Cd1 Cd 0.000 0.000 0.000
Cd2 Cd 0.000 0.500 0.251
Hg1 Hg 0.500 0.500 0.000
Pb1 Pb 0.000 0.000 0.500
```

=====

The following is a GGA-PBE calculation of Cd5Hg12Pb3 after structural relaxation, from Alexandria.

Output
Crystal system = cubic
ΔH_f (0 K) = 0.1472 eV/atom

Geometry as CIF:
```
data_Cd5Hg12Pb3
_symmetry_space_group_name_H-M 'I a -3 d'
_symmetry_Int_Tables_number 230
_symmetry_space_group_name_Hall '-I 4bd 2c 3'
_cell_length_a 17.435
_cell_length_b 17.435
_cell_length_c 17.435
_cell_angle_alpha 90.00
_cell_angle_beta 90.00
_cell_angle_gamma 90.00
loop_
_atom_site_label
_atom_site_type_symbol
_atom_site_fract_x
_atom_site_fract_y
_atom_site_fract_z
Cd1 Cd 0.000 0.000 0.000
Cd2 Cd 0.000 0.250 0.375
Hg1 Hg 0.019 0.077 0.652
Pb1 Pb 0.000 0.250 0.125
```

=====

The following is a GGA-PBE calculation of Cd4Hg3Pb2 after structural relaxation, from Alexandria.

Output
Crystal system = orthorhombic
ΔH_f (0 K) = 0.0378 eV/atom

Geometry as CIF:
```
data_Cd4Hg3Pb2
_symmetry_space_group_name_H-M 'C m c e'
_symmetry_Int_Tables_number 64
_symmetry_space_group_name_Hall '-C 2ac 2'
_cell_length_a 6.058
_cell_length_b 18.236
_cell_length_c 8.545
_cell_angle_alpha 90.00
_cell_angle_beta 90.00
_cell_angle_gamma 90.00
loop_
_atom_site_label
_atom_site_type_symbol
_atom_site_fract_x
_atom_site_fract_y
_atom_site_fract_z
Cd1 Cd 0.000 0.167 0.015
Cd2 Cd 0.250 0.078 0.750
Hg1 Hg 0.000 0.000 0.000
Hg2 Hg 0.250 0.245 0.750
Pb1 Pb 0.000 0.083 0.387
```

=====

The following is a GGA-PBE calculation of CdHg6Pb8 after structural relaxation, from Alexandria.

Output
Crystal system = triclinic
ΔH_f (0 K) = 0.0459 eV/atom

Geometry as CIF:
```
data_CdHg6Pb8
_symmetry_space_group_name_H-M 'P -1'
_symmetry_Int_Tables_number 2
_symmetry_space_group_name_Hall '-P 1'
_cell_length_a 7.062
_cell_length_b 7.353
_cell_length_c 9.171
_cell_angle_alpha 94.39
_cell_angle_beta 106.43
_cell_angle_gamma 104.88
loop_
_atom_site_label
_atom_site_type_symbol
_atom_site_fract_x
_atom_site_fract_y
_atom_site_fract_z
Cd1 Cd 0.000 0.000 0.000
Hg1 Hg 0.099 0.392 0.919
Hg2 Hg 0.297 0.037 0.359
Hg3 Hg 0.453 0.362 0.187
Pb1 Pb 0.137 0.777 0.736
Pb2 Pb 0.161 0.224 0.618
Pb3 Pb 0.301 0.606 0.421
Pb4 Pb 0.433 0.824 0.113
```

=====

The following is a GGA-PBE calculation of Cd4Hg2Pb3 after structural relaxation, from Alexandria.

Output
Crystal system = monoclinic
ΔH_f (0 K) = 0.0493 eV/atom

Geometry as CIF:
```
data_Cd4Hg2Pb3
_symmetry_space_group_name_H-M 'C 1 2/m 1'
_symmetry_Int_Tables_number 12
_symmetry_space_group_name_Hall '-C 2y'
_cell_length_a 11.021
_cell_length_b 4.999
_cell_length_c 8.859
_cell_angle_alpha 90.00
_cell_angle_beta 90.23
_cell_angle_gamma 90.00
loop_
_atom_site_label
_atom_site_type_symbol
_atom_site_fract_x
_atom_site_fract_y
_atom_site_fract_z
Cd1 Cd 0.076 0.000 0.355
Cd2 Cd 0.196 0.500 0.070
Hg1 Hg 0.231 0.500 0.393
Pb1 Pb 0.000 0.000 0.000
Pb2 Pb 0.094 0.500 0.733
```

=====

The following is a GGA-PBE calculation of Cd5Hg2Pb after structural relaxation, from Alexandria.

Output
Crystal system = triclinic
ΔH_f (0 K) = 0.0239 eV/atom

Geometry as CIF:
```
data_Cd5Hg2Pb
_symmetry_space_group_name_H-M 'P -1'
_symmetry_Int_Tables_number 2
_symmetry_space_group_name_Hall '-P 1'
_cell_length_a 5.912
_cell_length_b 6.183
_cell_length_c 11.864
_cell_angle_alpha 96.20
_cell_angle_beta 102.12
_cell_angle_gamma 108.07
loop_
_atom_site_label
_atom_site_type_symbol
_atom_site_fract_x
_atom_site_fract_y
_atom_site_fract_z
Cd1 Cd 0.000 0.000 0.000
Cd2 Cd 0.000 0.000 0.500
Cd3 Cd 0.013 0.250 0.246
Cd4 Cd 0.016 0.256 0.745
Cd5 Cd 0.470 0.125 0.371
Cd6 Cd 0.498 0.640 0.866
Hg1 Hg 0.470 0.127 0.877
Hg2 Hg 0.495 0.641 0.373
Pb1 Pb 0.000 0.500 0.000
Pb2 Pb 0.000 0.500 0.500
```

=====

The following is a GGA-PBE calculation of CdHg3Pb2 after structural relaxation, from Alexandria.

Output
Crystal system = orthorhombic
ΔH_f (0 K) = 0.0345 eV/atom

Geometry as CIF:
```
data_CdHg3Pb2
_symmetry_space_group_name_H-M 'C m c 21'
_symmetry_Int_Tables_number 36
_symmetry_space_group_name_Hall 'C 2c -2'
_cell_length_a 17.288
_cell_length_b 6.338
_cell_length_c 5.962
_cell_angle_alpha 90.00
_cell_angle_beta 90.00
_cell_angle_gamma 90.00
loop_
_atom_site_label
_atom_site_type_symbol
_atom_site_fract_x
_atom_site_fract_y
_atom_site_fract_z
Cd1 Cd 0.000 0.123 0.000
Hg1 Hg 0.000 0.402 0.568
Hg2 Hg 0.137 0.140 0.347
Pb1 Pb 0.179 0.361 0.857
```

=====

The following is a GGA-PBE calculation of Cd5Hg4Pb2 after structural relaxation, from Alexandria.

Output
Crystal system = monoclinic
ΔH_f (0 K) = 0.0426 eV/atom

Geometry as CIF:
```
data_Cd5Hg4Pb2
_symmetry_space_group_name_H-M 'P 1 2/m 1'
_symmetry_Int_Tables_number 10
_symmetry_space_group_name_Hall '-P 2y'
_cell_length_a 8.645
_cell_length_b 3.390
_cell_length_c 10.097
_cell_angle_alpha 90.00
_cell_angle_beta 106.11
_cell_angle_gamma 90.00
loop_
_atom_site_label
_atom_site_type_symbol
_atom_site_fract_x
_atom_site_fract_y
_atom_site_fract_z
Cd1 Cd 0.000 0.000 0.000
Cd2 Cd 0.013 0.000 0.649
Cd3 Cd 0.429 0.000 0.120
Hg1 Hg 0.234 0.500 0.261
Hg2 Hg 0.246 0.500 0.865
Pb1 Pb 0.346 0.000 0.572
```

=====

The following is a GGA-PBE calculation of Cd3Hg8Pb3 after structural relaxation, from Alexandria.

Output
Crystal system = orthorhombic
ΔH_f (0 K) = 0.0443 eV/atom

Geometry as CIF:
```
data_Cd3Hg8Pb3
_symmetry_space_group_name_H-M 'I m m m'
_symmetry_Int_Tables_number 71
_symmetry_space_group_name_Hall '-I 2 2'
_cell_length_a 4.853
_cell_length_b 11.453
_cell_length_c 13.256
_cell_angle_alpha 90.00
_cell_angle_beta 90.00
_cell_angle_gamma 90.00
loop_
_atom_site_label
_atom_site_type_symbol
_atom_site_fract_x
_atom_site_fract_y
_atom_site_fract_z
Cd1 Cd 0.000 0.000 0.000
Cd2 Cd 0.000 0.351 0.500
Hg1 Hg 0.000 0.134 0.368
Hg2 Hg 0.000 0.208 0.145
Pb1 Pb 0.000 0.500 0.000
Pb2 Pb 0.000 0.500 0.271
```